A geometry-optimized YScNiPt structure, computed with PBE.

Cell lengths 4.7504, 4.7504, 4.7504 Å; angles 60.00, 60.00, 60.00 degrees
Closest atoms and distances in Å follow each position.
Fractional positions:
Y  0.5000  0.5000  0.5000  4 Ni 2.91, 4 Pt 2.91
Ni  0.2500  0.2500  0.2500  4 Sc 2.91, 4 Y 2.91
Sc  0.0000  0.0000  0.0000  4 Ni 2.91, 4 Pt 2.91
Pt  0.7500  0.7500  0.7500  4 Sc 2.91, 4 Y 2.91

Values from the calculation:
M_tot	0.000	μB per atom
E_form	-0.802	eV/atom
space-group type	F-43m (216)